No. 1
Here is a geometry-optimized Ce2Pm3TmP6 structure from Alexandria via LeMat-Bulk. Energies are from PBE.

Results
For the energy of formation, the calculation gives -1.553 eV/atom.

Structure (CIF):
```
data_Ce2Pm3TmP6
_symmetry_space_group_name_H-M 'C 1 2/m 1'
_symmetry_Int_Tables_number 12
_cell_length_a 7.0667
_cell_length_b 12.2404
_cell_length_c 7.0787
_cell_angle_alpha 90.00
_cell_angle_beta 109.44
_cell_angle_gamma 90.00
loop_
_symmetry_equiv_pos_as_xyz
'x,y,z'
'-x,-y,-z'
'-x,y,-z'
'x,-y,z'
'x+1/2,y+1/2,z'
'-x+1/2,-y+1/2,-z'
'-x+1/2,y+1/2,-z'
'x+1/2,-y+1/2,z'
loop_
_atom_site_label
_atom_site_fract_x
_atom_site_fract_y
_atom_site_fract_z
Ce1 0.0000 0.1665 0.0000
Pm1 0.0000 0.0000 0.5000
Pm2 0.0000 0.3329 0.5000
Tm1 0.0000 0.5000 0.0000
P1 0.2460 0.3344 0.2413
P2 0.2498 0.0000 0.2428
```



No. 2
Here is a geometry-optimized MgIn2Si structure from Alexandria via LeMat-Bulk. Energies are from PBE.

Results
The calculation puts the distance to the lowest polymorph of the same formula at 0.28 eV/f.u.

Structure (CIF):
```
data_MgIn2Si
_symmetry_space_group_name_H-M 'P 4/m m m'
_symmetry_Int_Tables_number 123
_symmetry_space_group_name_Hall '-P 4 2'
_cell_length_a 3.2508
_cell_length_b 3.2508
_cell_length_c 8.4483
_cell_angle_alpha 90.00
_cell_angle_beta 90.00
_cell_angle_gamma 90.00
loop_
_atom_site_label
_atom_site_fract_x
_atom_site_fract_y
_atom_site_fract_z
Mg1 0.0000 0.0000 0.0000
In1 0.5000 0.5000 0.2630
Si1 0.0000 0.0000 0.5000
```



No. 3
Here is a geometry-optimized NaSr12Ag6 structure from Alexandria via LeMat-Bulk. Energies are from PBE.

Results
For the energy of formation, the calculation gives -0.185 eV/atom.

Structure (CIF):
```
data_NaSr12Ag6
_symmetry_space_group_name_H-M 'I m -3'
_symmetry_Int_Tables_number 204
_symmetry_space_group_name_Hall '-I 2 2 3'
_cell_length_a 11.5054
_cell_length_b 11.5054
_cell_length_c 11.5054
_cell_angle_alpha 90.00
_cell_angle_beta 90.00
_cell_angle_gamma 90.00
loop_
_atom_site_label
_atom_site_fract_x
_atom_site_fract_y
_atom_site_fract_z
Na1 0.0000 0.0000 0.0000
Sr1 0.0000 0.3041 0.1841
Ag1 0.0000 0.1219 0.5000
```



Number 1: VASP energy -163.36 eV/cell. Number 2: VASP energy -11.75 eV/cell. Number 3: VASP energy -84.25 eV/cell.